[1]
# Mo2Os

A relaxed Mo2Os crystal (PBE, Alexandria via LeMat-Bulk).

Properties
E above lowest polymorph in meV per atom: 173.6
Energy relative to the elements in eV/atom: 0.149

a = 5.456 Å, b = 4.248 Å, c = 8.014 Å
α = 90.00°, β = 90.00°, γ = 90.00°
Sites, in units of the cell vectors:
Mo  0.043  0.250  0.238
Mo  0.167  0.250  0.903
Mo  0.333  0.750  0.403
Mo  0.457  0.750  0.738
Mo  0.543  0.250  0.262
Mo  0.667  0.250  0.597
Mo  0.833  0.750  0.097
Mo  0.957  0.750  0.762
Os  0.158  0.250  0.566
Os  0.342  0.750  0.066
Os  0.658  0.250  0.934
Os  0.842  0.750  0.434



[2]
# Mo2Os

A relaxed Mo2Os crystal (PBE, Alexandria via LeMat-Bulk).

Properties
E above lowest polymorph in meV per atom: 198.7
Energy relative to the elements in eV/atom: 0.174

a = 5.334 Å, b = 5.334 Å, c = 6.744 Å
α = 105.48°, β = 105.48°, γ = 30.13°
Sites, in units of the cell vectors:
Mo  0.000  0.000  0.000
Mo  0.053  0.053  0.605
Mo  0.325  0.325  0.665
Mo  0.676  0.676  0.323
Os  0.391  0.391  0.262
Os  0.724  0.724  0.949